## YZnW2 (SCAN)

Data for a crystal of YZnW2 relaxed with PBEsol.

Values from the calculation:
theoretical density: 12.42 g/cm3
space-group type: C2/m
formation enthalpy at 0 K: 0.497 eV per atom

abc: 2.778 5.029 5.345
angles: 104.12 105.06 90.00
Fractional coordinates of all 4 atoms:
W: 0.272 0.272 0.543
W: 0.728 0.728 0.457
Y: 0.500 0.000 0.000
Zn: 0.000 0.500 0.000


## LaYHg2 (SCAN)

Data for a crystal of LaYHg2 relaxed with PBEsol.

Values from the calculation:
theoretical density: 9.95 g/cm3
space-group type: Pmm2
formation enthalpy at 0 K: -0.701 eV per atom

abc: 3.623 5.375 5.392
angles: 90.00 89.99 90.00
Fractional coordinates of all 4 atoms:
Y: 0.375 0.500 0.868
Hg: 0.875 0.000 0.887
Hg: 0.875 0.500 0.360
La: 0.375 0.000 0.385